This record from Alexandria via LeMat-Bulk describes Mg2MoIr after structural relaxation. The functional is PBE.

Unit cell a=5.4462 b=5.4462 c=5.4462 alpha=148.38 beta=128.60 gamma=61.61
Last column: nearest neighbours and their distance in Å.
Sites, in units of the cell vectors:
Mg 0.2360 0.2360 0.0000  2 Ir 2.66, 6 Mg 2.80-2.97, 2 Mo 2.88
Mg 0.7640 0.7640 0.0000  2 Ir 2.66, 6 Mg 2.80-2.97, 2 Mo 2.88
Mo 0.5000 0.0000 0.5000  4 Ir 2.79, 4 Mg 2.88, 2 Mo 2.97
Ir 0.0000 0.5000 0.5000  4 Mg 2.66, 4 Mo 2.79, 2 Ir 2.97

Results
Theoretical density   8.53 g/cm3
Polymorph energy (0 for the lowest one)   0.794 eV per formula unit
Magnetic moment   0.00 μB/atom
Space group   No. 71
Total DFT energy (no corrections)   -5.64 eV/atom
Energy relative to the elements   82 meV/atom

=====

This record from Alexandria via LeMat-Bulk describes BeSnIO2 after structural relaxation. The functional is PBE.

Unit cell a=4.0616 b=4.0616 c=4.9907 alpha=90.00 beta=90.00 gamma=90.00
Last column: nearest neighbours and their distance in Å.
Sites, in units of the cell vectors:
Be 0.0000 0.0000 0.0000  4 O 2.03
Sn 0.5000 0.5000 0.5000  4 I 2.87
I 0.0000 0.0000 0.5000  2 Be 2.50
O 0.0000 0.5000 0.0000  2 Be 2.03
O 0.5000 0.0000 0.0000  2 Be 2.03

Results
Theoretical density   5.78 g/cm3
Polymorph energy (0 for the lowest one)   0.373 eV per formula unit
Magnetic moment   0.18 μB/atom
Space group   No. 123
Total DFT energy (no corrections)   -3.96 eV/atom

=====

> What is the formula in the first record?

Mg2MoIr

=====

Repeat the second record exactly.
This record from Alexandria via LeMat-Bulk describes BeSnIO2 after structural relaxation. The functional is PBE.

Unit cell a=4.0616 b=4.0616 c=4.9907 alpha=90.00 beta=90.00 gamma=90.00
Last column: nearest neighbours and their distance in Å.
Sites, in units of the cell vectors:
Be 0.0000 0.0000 0.0000  4 O 2.03
Sn 0.5000 0.5000 0.5000  4 I 2.87
I 0.0000 0.0000 0.5000  2 Be 2.50
O 0.0000 0.5000 0.0000  2 Be 2.03
O 0.5000 0.0000 0.0000  2 Be 2.03

Results
Theoretical density   5.78 g/cm3
Polymorph energy (0 for the lowest one)   0.373 eV per formula unit
Magnetic moment   0.18 μB/atom
Space group   No. 123
Total DFT energy (no corrections)   -3.96 eV/atom

=====

> Which value of magnetic moment does entry 2 give?

0.18 μB/atom